NdSeCl: relaxed, PBE.

The space group is F-43m (No. 216) and the conventional cell measures 6.9592, 6.9592 and 6.9592 Å, with angles of 90.00, 90.00 and 90.00 degrees. Symmetry generates all atoms from Nd at (0.0000, 0.0000, 0.0000), Se at (0.2500, 0.2500, 0.7500) and Cl at (0.2500, 0.2500, 0.2500).

The value obtained for the magnetic moment is 0.000 μB/atom. The energy above the lowest structure with this stoichiometry is 0.0828 eV per atom. As for the density of states at the Fermi level: 0.000 states/eV per atom. The value obtained for the uncorrected formation energy is -1.991 eV/atom.

---

Nd3Se3Cl: relaxed, PBE.

The space group is R-3 (No. 148, hexagonal axes) and the conventional cell measures 8.8406, 8.8406 and 17.7328 Å, with angles of 90.00, 90.00 and 120.00 degrees. Symmetry generates all atoms from Nd at (0.0024, 0.6407, 0.0791), Se at (0.0022, 0.2990, 0.0875) and Cl at (0.0000, 0.0000, 0.3287).

The value obtained for the magnetic moment is 0.000 μB/atom. As for the density of states at the Fermi level: 0.328 states/eV per atom. The value obtained for the uncorrected formation energy is -1.830 eV/atom.

---

Nd2Se2Cl: relaxed, PBE.

The space group is Immm (No. 71) and the conventional cell measures 4.1911, 5.8566 and 12.3738 Å, with angles of 90.00, 90.00 and 90.00 degrees. Symmetry generates all atoms from Nd at (0.0000, 0.0000, 0.1715), Se at (0.0000, 0.5000, 0.1635) and Cl at (0.0000, 0.5000, 0.5000).

The value obtained for the magnetic moment is 0.000 μB/atom. The energy above the lowest structure with this stoichiometry is 0.1222 eV per atom. As for the density of states at the Fermi level: 0.441 states/eV per atom. The value obtained for the uncorrected formation energy is -1.858 eV/atom.

---

Nd4Se3Cl4: relaxed, PBE.

The space group is Immm (No. 71) and the conventional cell measures 3.8185, 8.4941 and 17.1345 Å, with angles of 90.00, 90.00 and 90.00 degrees. Symmetry generates all atoms from Nd at (0.0000, 0.0000, 0.2311), Nd at (0.0000, 0.2302, 0.0000), Se at (0.0000, 0.0000, 0.5000), Se at (0.0000, 0.5000, 0.4053) and Cl at (0.0000, 0.3148, 0.1734).

The value obtained for the magnetic moment is 0.000 μB/atom. As for the density of states at the Fermi level: 0.189 states/eV per atom. The value obtained for the uncorrected formation energy is -1.965 eV/atom.